[1]
Mg2AsP at its PBEsol-relaxed geometry, computed with meta-GGA SCAN.

For the energy of formation from the pure elements, the calculation gives -0.381 eV per atom. As for the energy above the most stable polymorph in this dataset: 2 kJ/mol of formula units. As for the total magnetic moment: 0.000 μB/cell.

The structure belongs to space group R-3m (No. 166, hexagonal axes); the cell edges are 3.4780, 3.4780 and 21.6933 Å and the angles 90.00°, 90.00° and 120.00°. The asymmetric unit holds Mg at (0.0000, 0.0000, 0.2426), As at (0.0000, 0.0000, 0.0000) and P at (0.0000, 0.0000, 0.5000).

=====

[2]
Mg4AsPb at its PBEsol-relaxed geometry, computed with meta-GGA SCAN.

For the energy of formation from the pure elements, the calculation gives 0.080 eV per atom. As for the total magnetic moment: 0.000 μB/cell.

The structure belongs to space group F-43m (No. 216); the cell edges are 8.159, 8.159 and 8.159 Å and the angles 90.00°, 90.00° and 90.00°. The asymmetric unit holds Mg at (0.125, 0.125, 0.125), As at (0.250, 0.250, 0.750) and Pb at (0.000, 0.000, 0.500).

=====

[3]
MgAsPb at its PBEsol-relaxed geometry, computed with meta-GGA SCAN.

For the energy of formation from the pure elements, the calculation gives -0.168 eV per atom. As for the energy above the most stable polymorph in this dataset: 0 kJ/mol of formula units. As for the total magnetic moment: 0.000 μB/cell.

The structure belongs to space group P3m1 (No. 156); the cell edges are 4.1332, 4.1332 and 5.1496 Å and the angles 90.00°, 90.00° and 120.00°. The asymmetric unit holds Mg at (0.0000, 0.0000, 0.0000), As at (0.6667, 0.3333, 0.2221) and Pb at (0.3333, 0.6667, 0.5617).

=====

[4]
MgAsPb at its PBEsol-relaxed geometry, computed with meta-GGA SCAN.

For the energy of formation from the pure elements, the calculation gives -0.113 eV per atom. As for the energy above the most stable polymorph in this dataset: 16 kJ/mol of formula units. As for the total magnetic moment: 0.000 μB/cell.

The structure belongs to space group Imm2 (No. 44); the cell edges are 3.248, 3.900 and 11.202 Å and the angles 90.00°, 90.00° and 90.00°. The asymmetric unit holds Mg at (0.000, 0.000, 0.000), As at (0.000, 0.000, 0.587) and Pb at (0.000, 0.000, 0.306).

=====

[5]
Mg2As2Pb at its PBEsol-relaxed geometry, computed with meta-GGA SCAN.

For the energy of formation from the pure elements, the calculation gives -0.278 eV per atom. As for the energy above the most stable polymorph in this dataset: 2 kJ/mol of formula units. As for the total magnetic moment: 0.000 μB/cell.

The structure belongs to space group P4/mbm (No. 127); the cell edges are 8.199, 8.199 and 3.209 Å and the angles 90.00°, 90.00° and 90.00°. The asymmetric unit holds Mg at (0.138, 0.362, 0.000), As at (0.158, 0.658, 0.500) and Pb at (0.000, 0.000, 0.500).

=====

[6]
MgAs4Pb at its PBEsol-relaxed geometry, computed with meta-GGA SCAN.

For the energy of formation from the pure elements, the calculation gives 0.248 eV per atom. As for the total magnetic moment: 0.002 μB/cell.

The structure belongs to space group F-43m (No. 216); the cell edges are 8.009, 8.009 and 8.009 Å and the angles 90.00°, 90.00° and 90.00°. The asymmetric unit holds Mg at (0.000, 0.000, 0.000), As at (0.125, 0.125, 0.375) and Pb at (0.250, 0.250, 0.750).

=====

[7]
Mg2As2Pb at its PBEsol-relaxed geometry, computed with meta-GGA SCAN.

For the energy of formation from the pure elements, the calculation gives -0.283 eV per atom. As for the energy above the most stable polymorph in this dataset: 0 kJ/mol of formula units. As for the total magnetic moment: 0.002 μB/cell.

The structure belongs to space group I4/mmm (No. 139); the cell edges are 4.254, 4.254 and 12.746 Å and the angles 90.00°, 90.00° and 90.00°. The asymmetric unit holds Mg at (0.000, 0.500, 0.250), As at (0.000, 0.000, 0.122) and Pb at (0.000, 0.000, 0.500).

=====

[8]
MgAs2Pt at its PBEsol-relaxed geometry, computed with meta-GGA SCAN.

For the energy of formation from the pure elements, the calculation gives -0.075 eV per atom. As for the total magnetic moment: 0.000 μB/cell.

The structure belongs to space group Cmmm (No. 65); the cell edges are 4.387, 4.441 and 7.181 Å and the angles 90.00°, 90.00° and 90.00°. The asymmetric unit holds Mg at (0.000, 0.000, 0.000), As at (0.000, 0.500, 0.273) and Pt at (0.000, 0.000, 0.500).

=====

[9]
MgAs2Pt at its PBEsol-relaxed geometry, computed with meta-GGA SCAN.

For the energy of formation from the pure elements, the calculation gives -0.439 eV per atom. As for the total magnetic moment: 0.000 μB/cell.

The structure belongs to space group R-3m (No. 166, hexagonal axes); the cell edges are 3.8301, 3.8301 and 17.8684 Å and the angles 90.00°, 90.00° and 120.00°. The asymmetric unit holds Mg at (0.0000, 0.0000, 0.0000), As at (0.0000, 0.0000, 0.2357) and Pt at (0.0000, 0.0000, 0.5000).

=====

[10]
Sr2MgAsPt at its PBEsol-relaxed geometry, computed with meta-GGA SCAN.

For the energy of formation from the pure elements, the calculation gives -0.024 eV per atom. As for the total magnetic moment: 0.001 μB/cell.

The structure belongs to space group P4/mmm (No. 123); the cell edges are 5.884, 5.884 and 4.550 Å and the angles 90.00°, 90.00° and 90.00°. The asymmetric unit holds Sr at (0.000, 0.500, 0.000), Mg at (0.000, 0.000, 0.000), As at (0.500, 0.500, 0.500) and Pt at (0.000, 0.000, 0.500).

=====

[11]
SrMg2AsPt at its PBEsol-relaxed geometry, computed with meta-GGA SCAN.

For the energy of formation from the pure elements, the calculation gives -0.527 eV per atom. As for the total magnetic moment: 0.000 μB/cell.

The structure belongs to space group P4/mmm (No. 123); the cell edges are 4.946, 4.946 and 5.069 Å and the angles 90.00°, 90.00° and 90.00°. The asymmetric unit holds Sr at (0.000, 0.000, 0.000), Mg at (0.000, 0.500, 0.500), As at (0.500, 0.500, 0.000) and Pt at (0.500, 0.500, 0.500).

=====

[12]
RbMgAs2 at its PBEsol-relaxed geometry, computed with meta-GGA SCAN.

For the energy of formation from the pure elements, the calculation gives 0.092 eV per atom. As for the energy above the most stable polymorph in this dataset: 179 kJ/mol of formula units. As for the total magnetic moment: 0.000 μB/cell.

The structure belongs to space group Fm-3m (No. 225); the cell edges are 7.247, 7.247 and 7.247 Å and the angles 90.00°, 90.00° and 90.00°. The asymmetric unit holds Rb at (0.000, 0.000, 0.000), Mg at (0.000, 0.000, 0.500) and As at (0.250, 0.250, 0.250).

=====

[13]
RbMgAs2 at its PBEsol-relaxed geometry, computed with meta-GGA SCAN.

For the energy of formation from the pure elements, the calculation gives -0.371 eV per atom. As for the energy above the most stable polymorph in this dataset: 0 kJ/mol of formula units. As for the total magnetic moment: 0.000 μB/cell.

The structure belongs to space group I4_1/amd (No. 141, origin choice 2); the cell edges are 5.474, 5.474 and 17.297 Å and the angles 90.00°, 90.00° and 90.00°. The asymmetric unit holds Rb at (0.000, 0.250, 0.375), Mg at (0.000, 0.250, 0.875) and As at (0.000, 0.000, 0.000).

=====

[14]
Rb2MgAsRu at its PBEsol-relaxed geometry, computed with meta-GGA SCAN.

For the energy of formation from the pure elements, the calculation gives 1.056 eV per atom. As for the total magnetic moment: 3.642 μB/cell.

The structure belongs to space group P4/mmm (No. 123); the cell edges are 6.287, 6.287 and 4.853 Å and the angles 90.00°, 90.00° and 90.00°. The asymmetric unit holds Rb at (0.000, 0.500, 0.000), Mg at (0.000, 0.000, 0.000), As at (0.500, 0.500, 0.500) and Ru at (0.000, 0.000, 0.500).

=====

[15]
MgReAs2 at its PBEsol-relaxed geometry, computed with meta-GGA SCAN.

For the energy of formation from the pure elements, the calculation gives 0.380 eV per atom. As for the total magnetic moment: 0.000 μB/cell.

The structure belongs to space group Pmmm (No. 47); the cell edges are 3.384, 3.956 and 4.840 Å and the angles 90.00°, 90.00° and 90.00°. The asymmetric unit holds Mg at (0.000, 0.000, 0.000), Re at (0.500, 0.000, 0.500), As at (0.000, 0.500, 0.500) and As at (0.500, 0.500, 0.000).